Record 1
Compound: Zr2ScIr
Source: Alexandria
Functional: GGA-PBE
Structure: relaxed

Unit cell a=5.7320 b=5.7320 c=5.7320 alpha=139.37 beta=139.37 gamma=58.81
Atoms (fractional coordinates):
Zr 0.0000 0.0000 0.0000
Zr 0.5000 0.5000 0.0000
Ir 0.2500 0.7500 0.5000
Sc 0.7500 0.2500 0.5000

Properties
- final energy (eV per atom) = -8.378
- ΔE_f (eV per atom) = -0.31
- symmetry = No. 139
- DOS at the Fermi energy (states/eV/f.u.) = 4.0



Record 2
Compound: Zr2ScIr
Source: Alexandria
Functional: GGA-PBE
Structure: relaxed

Unit cell a=4.7873 b=4.7873 c=4.7873 alpha=60.00 beta=60.00 gamma=60.00
Atoms (fractional coordinates):
Ir 0.5000 0.5000 0.5000
Sc 0.0000 0.0000 0.0000
Zr 0.2500 0.2500 0.2500
Zr 0.7500 0.7500 0.7500

Properties
- final energy (eV per atom) = -8.419
- ΔE_f (eV per atom) = -0.35
- symmetry = No. 225
- DOS at the Fermi energy (states/eV/f.u.) = 6.2



Record 3
Compound: ZrScIr2
Source: Alexandria
Functional: GGA-PBE
Structure: relaxed

Unit cell a=9.4914 b=9.4914 c=9.4914 alpha=18.32 beta=18.32 gamma=18.32
Atoms (fractional coordinates):
Ir 0.9983 0.9983 0.9983
Ir 0.2488 0.2488 0.2488
Sc 0.5115 0.5115 0.5115
Zr 0.7414 0.7414 0.7414

Properties
- final energy (eV per atom) = -8.175
- ΔE_f (eV per atom) = -0.02
- symmetry = No. 160
- DOS at the Fermi energy (states/eV/f.u.) = 4.3



Record 4
Compound: Zr2ScIr2
Source: Alexandria
Functional: GGA-PBE
Structure: relaxed

Unit cell a=7.9933 b=7.9933 c=3.0318 alpha=90.00 beta=90.00 gamma=90.00
Atoms (fractional coordinates):
Sc 0.0000 0.0000 0.0000
Sc 0.5000 0.5000 0.0000
Zr 0.6452 0.1452 0.0000
Zr 0.1452 0.3548 0.0000
Zr 0.3548 0.8548 0.0000
Zr 0.8548 0.6452 0.0000
Ir 0.6537 0.8463 0.5000
Ir 0.8463 0.3463 0.5000
Ir 0.1537 0.6537 0.5000
Ir 0.3463 0.1537 0.5000

Properties
- final energy (eV per atom) = -8.800
- ΔE_f (eV per atom) = -0.57
- symmetry = No. 127
- DOS at the Fermi energy (states/eV/f.u.) = 3.8



Record 5
Compound: ZrSc2Ir
Source: Alexandria
Functional: GGA-PBE
Structure: relaxed

Unit cell a=4.7830 b=4.7830 c=4.7830 alpha=60.00 beta=60.00 gamma=60.00
Atoms (fractional coordinates):
Sc 0.2500 0.2500 0.2500
Sc 0.7500 0.7500 0.7500
Zr 0.0000 0.0000 0.0000
Ir 0.5000 0.5000 0.5000

Properties
- final energy (eV per atom) = -7.810
- ΔE_f (eV per atom) = -0.29
- symmetry = No. 225
- DOS at the Fermi energy (states/eV/f.u.) = 4.5



Record 6
Compound: ZrSc2Ir
Source: Alexandria
Functional: GGA-PBE
Structure: relaxed

Unit cell a=4.4814 b=3.1481 c=5.8637 alpha=73.70 beta=90.00 gamma=90.00
Atoms (fractional coordinates):
Sc 0.0000 0.5729 0.5211
Sc 0.0000 0.9271 0.9789
Ir 0.5000 0.7500 0.7500
Zr 0.5000 0.2500 0.2500

Properties
- final energy (eV per atom) = -7.898
- ΔE_f (eV per atom) = -0.38
- symmetry = No. 10
- DOS at the Fermi energy (states/eV/f.u.) = 3.9



Record 7
Compound: ZrScIr3
Source: Alexandria
Functional: GGA-PBE
Structure: relaxed

Unit cell a=4.6385 b=4.6385 c=4.6385 alpha=90.00 beta=90.00 gamma=90.00
Atoms (fractional coordinates):
Ir 0.0000 0.0000 0.5000
Ir 0.5000 0.0000 0.0000
Ir 0.0000 0.5000 0.0000
Sc 0.0000 0.0000 0.0000
Zr 0.5000 0.5000 0.5000

Properties
- final energy (eV per atom) = -7.575
- ΔE_f (eV per atom) = 0.72
- symmetry = No. 221
- DOS at the Fermi energy (states/eV/f.u.) = 1.8



Record 8
Compound: ZrScIr2
Source: Alexandria
Functional: GGA-PBE
Structure: relaxed

Unit cell a=5.4026 b=5.4026 c=5.4026 alpha=137.82 beta=137.82 gamma=61.18
Atoms (fractional coordinates):
Sc 0.5000 0.5000 0.0000
Zr 0.7500 0.2500 0.5000
Ir 0.2500 0.7500 0.5000
Ir 0.0000 0.0000 0.0000

Properties
- final energy (eV per atom) = -8.872
- ΔE_f (eV per atom) = -0.72
- symmetry = No. 119
- DOS at the Fermi energy (states/eV/f.u.) = 2.5



Record 9
Compound: Zr3ScIr2
Source: Alexandria
Functional: GGA-PBE
Structure: relaxed

Unit cell a=4.5139 b=6.6808 c=8.2072 alpha=90.00 beta=90.00 gamma=90.00
Atoms (fractional coordinates):
Zr 0.0000 0.8489 0.6641
Zr 0.5000 0.6498 0.1695
Zr 0.0000 0.4926 0.9240
Zr 0.5000 0.1498 0.8305
Zr 0.0000 0.3489 0.3359
Zr 0.0000 0.9926 0.0760
Ir 0.0000 0.2517 0.6638
Ir 0.5000 0.2462 0.1611
Ir 0.0000 0.7517 0.3362
Ir 0.5000 0.7462 0.8389
Sc 0.5000 0.0108 0.4256
Sc 0.5000 0.5108 0.5744

Properties
- final energy (eV per atom) = -8.995
- ΔE_f (eV per atom) = -0.71
- symmetry = No. 26
- DOS at the Fermi energy (states/eV/f.u.) = 5.5



Record 10
Compound: ZrScIr2
Source: Alexandria
Functional: GGA-PBE
Structure: relaxed

Unit cell a=3.1508 b=4.7268 c=4.7268 alpha=96.02 beta=90.00 gamma=90.00
Atoms (fractional coordinates):
Ir 0.0000 0.0000 0.5000
Ir 0.0000 0.5000 0.0000
Sc 0.5000 0.5000 0.5000
Zr 0.5000 0.0000 0.0000

Properties
- final energy (eV per atom) = -9.050
- ΔE_f (eV per atom) = -0.90
- symmetry = No. 65
- DOS at the Fermi energy (states/eV/f.u.) = 2.0



Record 11
Compound: IrSe
Source: Alexandria
Functional: GGA-PBE
Structure: relaxed

Unit cell a=4.2239 b=5.2790 c=10.0682 alpha=90.00 beta=90.00 gamma=90.00
Atoms (fractional coordinates):
Se 0.0000 0.1090 0.6632
Se 0.5000 0.8910 0.1632
Se 0.0000 0.1090 0.3368
Se 0.0000 0.4516 0.0000
Se 0.5000 0.5484 0.5000
Se 0.5000 0.8910 0.8368
Ir 0.5000 0.3306 0.7240
Ir 0.5000 0.2280 0.0000
Ir 0.0000 0.7720 0.5000
Ir 0.0000 0.6694 0.2240
Ir 0.5000 0.3306 0.2760
Ir 0.0000 0.6694 0.7760

Properties
- final energy (eV per atom) = -6.050
- symmetry = No. 59
- DOS at the Fermi energy (states/eV/f.u.) = 1.2



Record 12
Compound: IrSe
Source: Alexandria
Functional: GGA-PBE
Structure: relaxed

Unit cell a=7.5261 b=7.5261 c=7.5261 alpha=90.00 beta=90.00 gamma=90.00
Atoms (fractional coordinates):
Ir 0.6332 0.6332 0.3668
Ir 0.3668 0.6332 0.6332
Ir 0.3668 0.3668 0.3668
Ir 0.8668 0.1332 0.1332
Ir 0.6332 0.3668 0.6332
Ir 0.1332 0.1332 0.8668
Ir 0.8668 0.8668 0.8668
Ir 0.1332 0.8668 0.1332
Se 0.1880 0.1880 0.1880
Se 0.8120 0.8120 0.1880
Se 0.1880 0.8120 0.8120
Se 0.3120 0.3120 0.6880
Se 0.3120 0.6880 0.3120
Se 0.6880 0.6880 0.6880
Se 0.8120 0.1880 0.8120
Se 0.6880 0.3120 0.3120

Properties
- final energy (eV per atom) = -5.897
- symmetry = No. 217
- DOS at the Fermi energy (states/eV/f.u.) = 0.9



Record 13
Compound: Ir6Se7
Source: Alexandria
Functional: GGA-PBE
Structure: relaxed

Unit cell a=7.9234 b=7.9234 c=7.9234 alpha=50.13 beta=50.13 gamma=50.13
Atoms (fractional coordinates):
Ir 0.1772 0.1772 0.1772
Ir 0.0592 0.0592 0.0592
Ir 0.6696 0.6696 0.6696
Ir 0.8228 0.8228 0.8228
Ir 0.9408 0.9408 0.9408
Ir 0.3304 0.3304 0.3304
Se 0.0696 0.5826 0.5826
Se 0.5826 0.0696 0.5826
Se 0.4174 0.4174 0.9304
Se 0.4174 0.9304 0.4174
Se 0.5000 0.5000 0.5000
Se 0.9304 0.4174 0.4174
Se 0.5826 0.5826 0.0696

Properties
- final energy (eV per atom) = -5.077
- symmetry = No. 166
- DOS at the Fermi energy (states/eV/f.u.) = 12.7



Record 14
Compound: IrSe
Source: Alexandria
Functional: GGA-PBE
Structure: relaxed

Unit cell a=7.4054 b=7.4054 c=7.4054 alpha=29.26 beta=29.26 gamma=29.26
Atoms (fractional coordinates):
Ir 0.6230 0.6230 0.6230
Ir 0.3770 0.3770 0.3770
Se 0.0910 0.0910 0.0910
Se 0.9090 0.9090 0.9090

Properties
- final energy (eV per atom) = -6.117
- symmetry = No. 166
- DOS at the Fermi energy (states/eV/f.u.) = 1.5



Record 15
Compound: IrSe
Source: Alexandria
Functional: GGA-PBE
Structure: relaxed

Unit cell a=4.3360 b=4.3360 c=4.3360 alpha=41.85 beta=41.85 gamma=41.85
Atoms (fractional coordinates):
Ir 0.0000 0.0000 0.0000
Se 0.5000 0.5000 0.5000

Properties
- final energy (eV per atom) = -5.751
- symmetry = No. 166
- DOS at the Fermi energy (states/eV/f.u.) = 1.6



Record 16
Compound: IrSe
Source: Alexandria
Functional: GGA-PBE
Structure: relaxed

Unit cell a=4.5130 b=4.5130 c=12.3862 alpha=90.00 beta=90.00 gamma=120.00
Atoms (fractional coordinates):
Ir 0.0000 0.0000 0.1126
Ir 0.0000 0.0000 0.8874
Ir 0.6667 0.3333 0.6383
Ir 0.3333 0.6667 0.1338
Ir 0.6667 0.3333 0.8662
Ir 0.3333 0.6667 0.3617
Se 0.0000 0.0000 0.3057
Se 0.0000 0.0000 0.6943
Se 0.3333 0.6667 0.9264
Se 0.6667 0.3333 0.4260
Se 0.6667 0.3333 0.0736
Se 0.3333 0.6667 0.5740

Properties
- final energy (eV per atom) = -5.915
- symmetry = No. 164
- DOS at the Fermi energy (states/eV/f.u.) = 0.8



Record 17
Compound: IrSe
Source: Alexandria
Functional: GGA-PBE
Structure: relaxed

Unit cell a=7.1751 b=7.1751 c=3.4683 alpha=90.00 beta=90.00 gamma=152.03
Atoms (fractional coordinates):
Ir 0.1949 0.8051 0.2500
Ir 0.8051 0.1949 0.7500
Se 0.3694 0.6306 0.2500
Se 0.6306 0.3694 0.7500

Properties
- final energy (eV per atom) = -5.990
- symmetry = No. 63
- DOS at the Fermi energy (states/eV/f.u.) = 0.9



Record 18
Compound: IrSe
Source: Alexandria
Functional: GGA-PBE
Structure: relaxed

Unit cell a=5.1748 b=5.1748 c=5.1748 alpha=136.43 beta=136.43 gamma=63.32
Atoms (fractional coordinates):
Se 0.7500 0.2500 0.5000
Se 0.5000 0.5000 0.0000
Ir 0.2500 0.7500 0.5000
Ir 0.0000 0.0000 0.0000

Properties
- final energy (eV per atom) = -5.514
- symmetry = No. 141
- DOS at the Fermi energy (states/eV/f.u.) = 1.7



Record 19
Compound: IrSe
Source: Alexandria
Functional: GGA-PBE
Structure: relaxed

Unit cell a=5.1897 b=5.1897 c=5.1897 alpha=90.00 beta=90.00 gamma=90.00
Atoms (fractional coordinates):
Ir 0.5000 0.0000 0.0000
Ir 0.5000 0.5000 0.5000
Ir 0.0000 0.5000 0.0000
Ir 0.0000 0.0000 0.5000
Se 0.5000 0.5000 0.0000
Se 0.5000 0.0000 0.5000
Se 0.0000 0.0000 0.0000
Se 0.0000 0.5000 0.5000

Properties
- final energy (eV per atom) = -5.740
- symmetry = No. 225
- DOS at the Fermi energy (states/eV/f.u.) = 2.0



Record 20
Compound: IrSe
Source: Alexandria
Functional: GGA-PBE
Structure: relaxed

Unit cell a=7.1668 b=7.1668 c=3.4387 alpha=90.00 beta=90.00 gamma=90.00
Atoms (fractional coordinates):
Ir 0.8677 0.1323 0.5000
Ir 0.6323 0.6323 0.0000
Ir 0.1323 0.8677 0.5000
Ir 0.3677 0.3677 0.0000
Se 0.7029 0.2971 0.0000
Se 0.2971 0.7029 0.0000
Se 0.2029 0.2029 0.5000
Se 0.7971 0.7971 0.5000

Properties
- final energy (eV per atom) = -6.050
- symmetry = No. 136
- DOS at the Fermi energy (states/eV/f.u.) = 1.3